No. 1
Below is CaAgP after structural relaxation, with properties calculated at the GGA-PBEsol level.

## Properties
Its space group is P-62m. As for the volume: 19.1 A^3/atom. The formation energy comes out at -0.799 eV/atom.

Lattice parameters (Å, degrees): 4.1430 6.9172 6.9172 120.00 90.00 90.00
Sites, in units of the cell vectors:
P 0.0000 0.3333 0.6667
Ag 0.0000 0.2513 0.2513
Ag 0.0000 0.0000 0.7487
P 0.5000 0.0000 0.0000
Ag 0.0000 0.7487 0.0000
Ca 0.5000 0.4131 0.0000
P 0.0000 0.6667 0.3333
Ca 0.5000 0.5869 0.5869
Ca 0.5000 0.0000 0.4131

No. 2
Below is BaSr4P after structural relaxation, with properties calculated at the GGA-PBEsol level.

## Properties
Its space group is F-43m. As for the volume: 45.2 A^3/atom. The formation energy comes out at 0.415 eV/atom.

Lattice parameters (Å, degrees): 7.2634 7.2634 7.2634 60.00 60.00 60.00
Sites, in units of the cell vectors:
Ba 0.7500 0.7500 0.7500
Sr 0.3740 0.3740 0.8780
Sr 0.3740 0.8780 0.3740
P 0.0000 0.0000 0.0000
Sr 0.8780 0.3740 0.3740
Sr 0.3740 0.3740 0.3740

No. 3
Below is ScAgSb2 after structural relaxation, with properties calculated at the GGA-PBEsol level.

## Properties
Its space group is P4mm. As for the volume: 22.5 A^3/atom. As for the raw formation energy: -0.40 eV/atom.

Lattice parameters (Å, degrees): 3.9401 3.9401 5.8010 90.00 90.00 90.00
Sites, in units of the cell vectors:
Sc 0.0000 0.0000 0.4557
Ag 0.5000 0.5000 0.7921
Sb 0.0000 0.0000 0.9465
Sb 0.5000 0.5000 0.3057

No. 4
Below is HfBF2 after structural relaxation, with properties calculated at the GGA-PBEsol level.

## Properties
Its space group is I-42d. As for the volume: 11.5 A^3/atom. As for the raw formation energy: -1.40 eV/atom.

Lattice parameters (Å, degrees): 3.5147 3.5147 7.8359 102.96 102.96 90.00
Last column: magnetic moment on the atom in μB.
Sites, in units of the cell vectors:
B 0.7500 0.2500 0.5000  0.13
F 0.3373 0.8750 0.2500  0.02
F 0.9127 0.3750 0.2500  0.02
F 0.6250 0.6627 0.7500  0.02
Hf 0.2500 0.7500 0.5000  0.20
Hf 0.0000 0.0000 0.0000  0.20
F 0.1250 0.0873 0.7500  0.02
B 0.5000 0.5000 0.0000  0.13

No. 5
Below is Mn3BeTe after structural relaxation, with properties calculated at the GGA-PBEsol level.

## Properties
Its space group is Pm-3m. As for the volume: 14.8 A^3/atom. As for the raw formation energy: 0.53 eV/atom.

Lattice parameters (Å, degrees): 4.1971 4.1971 4.1971 90.00 90.00 90.00
Last column: magnetic moment on the atom in μB.
Sites, in units of the cell vectors:
Mn 0.5000 0.0000 0.0000  3.25
Be 0.0000 0.0000 0.0000  -0.15
Te 0.5000 0.5000 0.5000  0.02
Mn 0.0000 0.5000 0.0000  3.25
Mn 0.0000 0.0000 0.5000  3.25

No. 6
Below is ZnNiSe2S after structural relaxation, with properties calculated at the GGA-PBEsol level.

## Properties
Its space group is P4/mmm. As for the volume: 18.6 A^3/atom. As for the raw formation energy: 0.42 eV/atom.

Lattice parameters (Å, degrees): 4.4931 4.5535 4.5535 90.00 90.00 90.00
Sites, in units of the cell vectors:
Se 0.0000 0.5000 0.0000
Ni 0.0000 0.0000 0.0000
Zn 0.5000 0.0000 0.0000
S 0.5000 0.5000 0.5000
Se 0.0000 0.0000 0.5000

No. 7
Below is Cr2CoAgGe after structural relaxation, with properties calculated at the GGA-PBEsol level.

## Properties
Its space group is P4/mmm. As for the volume: 17.8 A^3/atom. The formation energy comes out at 1.097 eV/atom.

Lattice parameters (Å, degrees): 4.2238 4.5907 4.5907 90.00 90.00 90.00
Last column: magnetic moment on the atom in μB.
Sites, in units of the cell vectors:
Ge 0.0000 0.0000 0.0000  -0.10
Co 0.5000 0.0000 0.0000  1.02
Cr 0.0000 0.5000 0.0000  3.28
Ag 0.5000 0.5000 0.5000  0.05
Cr 0.0000 0.0000 0.5000  3.28

No. 8
Below is ReSbCl2 after structural relaxation, with properties calculated at the GGA-PBEsol level.

## Properties
Its space group is Cmmm. As for the volume: 18.2 A^3/atom. As for the raw formation energy: 1.02 eV/atom.

Lattice parameters (Å, degrees): 2.8893 5.2020 5.2020 111.56 90.00 90.00
Sites, in units of the cell vectors:
Sb 0.5000 0.5000 0.5000
Cl 0.0000 0.5000 0.0000
Cl 0.0000 0.0000 0.5000
Re 0.5000 0.0000 0.0000